Computed, not measured: a geometry-optimized Pr8Zn2Os structure at the PBE-GGA level of DFT.

The structure in CIF format:
```
data_Pr8Zn2Os
_symmetry_space_group_name_H-M 'I m m m'
_symmetry_Int_Tables_number 71
_symmetry_space_group_name_Hall '-I 2 2'
_cell_length_a 5.035
_cell_length_b 8.739
_cell_length_c 14.644
_cell_angle_alpha 90.00
_cell_angle_beta 90.00
_cell_angle_gamma 90.00
loop_
_atom_site_label
_atom_site_type_symbol
_atom_site_fract_x
_atom_site_fract_y
_atom_site_fract_z
Pr1 Pr 0.000 0.000 0.121
Pr2 Pr 0.000 0.230 0.345
Pr3 Pr 0.000 0.334 0.000
Zn1 Zn 0.000 0.500 0.196
Os1 Os 0.000 0.500 0.500
```

Results
- crystal system = orthorhombic
- energy (eV/atom) = -4.71
- D(E_F) (states/eV/f.u.) = 10.38


Computed, not measured: a geometry-optimized Pr2ZnOs structure at the PBE-GGA level of DFT.

The structure in CIF format:
```
data_Pr2ZnOs
_symmetry_space_group_name_H-M 'P 1 21/m 1'
_symmetry_Int_Tables_number 11
_symmetry_space_group_name_Hall '-P 2yb'
_cell_length_a 5.995
_cell_length_b 4.329
_cell_length_c 8.223
_cell_angle_alpha 90.00
_cell_angle_beta 110.85
_cell_angle_gamma 90.00
loop_
_atom_site_label
_atom_site_type_symbol
_atom_site_fract_x
_atom_site_fract_y
_atom_site_fract_z
Pr1 Pr 0.188 0.250 0.417
Pr2 Pr 0.271 0.750 0.059
Zn1 Zn 0.363 0.750 0.716
Os1 Os 0.149 0.250 0.781
```

Results
- crystal system = monoclinic
- energy (eV/atom) = -5.68
- D(E_F) (states/eV/f.u.) = 3.26


> The highest energy belongs to which entry?

Pr8Zn2Os


> What is the formula in the second record?

Pr2ZnOs


> Look up the D(E_F) of the second one.

3.26 states/eV/f.u.